## PrTmAlGa (GGA-PBE)

Data for crystalline PrTmAlGa at its relaxed geometry.

Computed properties:
The calculation puts the calculated density at 6.968 g/cm3. The symmetry is No. 216. The raw total energy is -4.449 eV per atom. As for the calculated formation energy: -0.444 eV per atom.

Unit cell a=5.1553 b=5.1553 c=5.1553 alpha=60.00 beta=60.00 gamma=60.00
With the nearest neighbours (Å) after each atom.
Atoms (fractional coordinates):
Pr 0.0000 0.0000 0.0000  4 Al 3.16, 4 Ga 3.16
Tm 0.5000 0.5000 0.5000  4 Al 3.16, 4 Ga 3.16
Al 0.7500 0.7500 0.7500  4 Pr 3.16, 4 Tm 3.16
Ga 0.2500 0.2500 0.2500  4 Pr 3.16, 4 Tm 3.16